--- i ---
TlCd2Hg GGA-PBE relaxed; space-group type = P-1, No. 2
1.0
4.2524 0.0000 0.0000
1.9848 5.4943 0.0000
2.0120 1.0126 8.9326
Tl Cd Hg
2 4 2
Direct
0.1190 0.2011 0.0679
0.8810 0.7989 0.9321
0.3558 0.5793 0.2154
0.3821 0.0614 0.6731
0.6179 0.9386 0.3269
0.6442 0.4207 0.7846
0.1226 0.6910 0.5642
0.8774 0.3090 0.4358

***

--- ii ---
TlCd2Hg GGA-PBE relaxed; space-group type = P4/mmm, No. 123
1.0
4.9724 0.0000 0.0000
0.0000 4.9724 0.0000
0.0000 0.0000 4.2009
Tl Cd Hg
1 2 1
Direct
0.0000 0.0000 0.0000
0.0000 0.5000 0.5000
0.5000 0.0000 0.5000
0.5000 0.5000 0.0000

***

What should be chosen as the least stable of them? Choose ii.

***

--- i ---
TlCd2Hg GGA-PBE relaxed; space-group type = Cmm2, No. 35
1.0
1.6179 -2.9124 0.0000
1.6179 2.9124 0.0000
0.0000 0.0000 11.1464
Tl Cd Hg
1 2 1
Direct
0.0000 0.0000 0.0000
0.0000 0.0000 0.4970
0.5000 0.5000 0.2619
0.5000 0.5000 0.7370

***

--- ii ---
TlCd2Hg GGA-PBE relaxed; space-group type = R3m, No. 160
1.0
1.7177 0.9917 10.2251
-1.7177 0.9917 10.2251
0.0000 -1.9835 10.2251
Tl Cd Hg
1 2 1
Direct
0.0000 0.0000 0.0000
0.2456 0.2456 0.2456
0.4212 0.4212 0.4212
0.8331 0.8331 0.8331

***

--- iii ---
TlCd2Hg GGA-PBE relaxed; space-group type = I-4m2, No. 119
1.0
-2.2951 2.2951 4.9382
2.2951 -2.2951 4.9382
2.2951 2.2951 -4.9382
Tl Cd Hg
1 2 1
Direct
0.0000 0.0000 0.0000
0.2500 0.7500 0.5000
0.5000 0.5000 0.0000
0.7500 0.2500 0.5000

***

--- iv ---
TlCd2Hg GGA-PBE relaxed; space-group type = P2_1/m, No. 11
1.0
4.9375 0.0000 0.0000
0.0000 7.4387 0.0000
-2.0621 0.0000 5.7954
Tl Cd Hg
2 4 2
Direct
0.0808 0.2500 0.1507
0.9192 0.7500 0.8493
0.4016 0.0461 0.7503
0.4016 0.4539 0.7503
0.5984 0.5461 0.2497
0.5984 0.9539 0.2497
0.1684 0.7500 0.4110
0.8316 0.2500 0.5890

***

What should be chosen as the least stable of them? Choose i.